[1]
This record from Alexandria via LeMat-Bulk describes a relaxed Rb2YSi2O6 crystal. The functional is GGA-PBE.

## Properties
Its volume is 182.4 Å³/cell. The value obtained for the formation energy (no corrections) is -2538.9 meV per atom. The electronic total energy comes out at -76.9 eV/cell.

Unit cell a=6.873 b=6.873 c=6.873 alpha=51.28 beta=51.28 gamma=51.28
Atoms (fractional coordinates):
Rb 0.218 0.218 0.218
Rb 0.782 0.782 0.782
Y 0.000 0.000 0.000
Si 0.426 0.426 0.426
Si 0.574 0.574 0.574
O 0.254 0.254 0.716
O 0.254 0.716 0.254
O 0.284 0.746 0.746
O 0.716 0.254 0.254
O 0.746 0.284 0.746
O 0.746 0.746 0.284

[2]
This record from Alexandria via LeMat-Bulk describes a relaxed SiBRhAuCS crystal. The functional is GGA-PBE.

## Properties
The relative energy among the computed polymorphs comes out at 0.00 kcal/mol of atoms. Its volume is 80.9 Å³/cell. The value obtained for the formation energy (no corrections) is 179.0 meV per atom. The electronic total energy comes out at -35.0 eV/cell.

Unit cell a=5.420 b=2.840 c=5.819 alpha=90.00 beta=115.44 gamma=90.00
Atoms (fractional coordinates):
Si 0.000 0.000 0.000
B 0.359 0.000 0.573
Rh 0.620 0.500 0.880
Au 0.058 0.500 0.649
C 0.351 0.000 0.297
S 0.557 0.500 0.262

[3]
This record from Alexandria via LeMat-Bulk describes a relaxed Hf2ReOs crystal. The functional is GGA-PBE.

## Properties
The formation enthalpy at 0 K is -521 meV per atom. The relative energy among the computed polymorphs comes out at 0.17 kcal/mol of atoms. Its volume is 69.4 Å³/cell. The electronic total energy comes out at -45.7 eV/cell.

Unit cell a=4.614 b=4.614 c=4.614 alpha=60.00 beta=60.00 gamma=60.00
Atoms (fractional coordinates):
Hf 0.250 0.250 0.250
Hf 0.750 0.750 0.750
Re 0.000 0.000 0.000
Os 0.500 0.500 0.500